12
Lattice="-0.132 3.806 -4.886 -4.977 -2.490 0.835 -0.725 5.421 2.545" Properties=species:S:1:pos:R:3 comment="Ac2TaCrO8, optimized geometry, DFT PBE+U" total_energy_ev_per_atom=-8.2625 magnetic_moment_mub_per_cell=0.9 volume_a3_per_cell=188 pbc="T T T"
O -3.826 0.818 -2.649
O -1.407 4.744 -3.558
O -1.460 3.229 -0.052
O -4.427 1.994 2.052
O -2.008 5.920 1.142
O -1.654 7.376 -2.286
O -4.374 3.509 -1.454
O -4.180 -0.638 0.780
Cr -0.363 2.711 1.273
Ac -2.535 5.322 -1.147
Ac -3.299 1.415 -0.359
Ta 0.000 0.000 0.000